Record 1
# Ta2CrTc

An optimized crystal structure of Ta2CrTc (PBE, the Alexandria database).

Unit cell a=4.449 b=4.449 c=4.449 alpha=60.00 beta=60.00 gamma=60.00
Atoms (fractional coordinates):
1 Ta 0.000 0.000 0.000
2 Ta 0.250 0.250 0.250
3 Cr 0.750 0.750 0.750
4 Tc 0.500 0.500 0.500

***

Record 2
# Ta2CrTc

An optimized crystal structure of Ta2CrTc (PBE, the Alexandria database).

Unit cell a=5.253 b=5.253 c=5.253 alpha=145.17 beta=130.22 gamma=62.19
Atoms (fractional coordinates):
1 Ta 0.000 0.000 0.000
2 Ta 0.738 0.238 0.500
3 Cr 0.491 0.491 0.000
4 Tc 0.249 0.749 0.500

***

Record 3
# TaCrTc2

An optimized crystal structure of TaCrTc2 (PBE, the Alexandria database).

Unit cell a=2.723 b=2.723 c=8.563 alpha=90.00 beta=90.00 gamma=110.48
Atoms (fractional coordinates):
1 Ta 0.000 0.000 0.000
2 Cr 0.500 0.500 0.749
3 Tc 0.000 0.000 0.521
4 Tc 0.500 0.500 0.263

***

Record 4
# TaCrTc2

An optimized crystal structure of TaCrTc2 (PBE, the Alexandria database).

Unit cell a=5.567 b=5.567 c=5.567 alpha=103.01 beta=103.01 gamma=123.36
Atoms (fractional coordinates):
1 Ta 0.000 0.000 0.000
2 Ta 0.750 0.250 0.500
3 Cr 0.250 0.750 0.500
4 Cr 0.500 0.500 0.000
5 Tc 0.163 0.625 0.038
6 Tc 0.375 0.413 0.538
7 Tc 0.587 0.125 0.962
8 Tc 0.875 0.837 0.462

***

| no. | density of states at the Fermi level (states/eV/f.u.) | final energy (eV for the cell shown) |
| --- | --- | --- |
| 1 | 2.93 | -43.9 |
| 2 | 1.63 | -44.5 |
| 3 | 5.01 | -41.8 |
| 4 | 6.00 | -79.8 |